Entry 1:
The following is a DFT calculation (PBE) of a relaxed YMgV2 crystal.

Calculated values
Magnetic moment (μB/f.u.): 3.999
E_form (eV/atom): 0.909

Lattice parameters (Å, degrees): 7.6481 7.6481 5.7784 90.00 90.00 90.00
Last column: nearest neighbours and their distance in Å.
Space group I-42d (No. 122)
Symmetry-distinct sites (fractional):
Y 0.0000 0.0000 0.0000  2 Mg 2.89, 4 V 2.90
Mg 0.0000 0.0000 0.5000  4 V 2.70, 2 Y 2.89
V 0.2302 0.2500 0.6250  2 Mg 2.70, 2 Y 2.90, 2 V 2.91

***

Entry 2:
The following is a DFT calculation (PBE) of a relaxed CaTaCdSe2 crystal.

Calculated values
Magnetic moment (μB/f.u.): 3.003
E_form (uncorrected) (meV per atom): 880

Lattice parameters (Å, degrees): 5.3141 5.3141 5.3525 90.00 90.00 90.00
Last column: nearest neighbours and their distance in Å.
Space group P4/mmm (No. 123)
Symmetry-distinct sites (fractional):
Ca 0.0000 0.0000 0.0000  4 Se 2.66, 2 Cd 2.68
Ta 0.5000 0.5000 0.5000  4 Cd 3.76, 8 Se 3.77
Cd 0.0000 0.0000 0.5000  2 Ca 2.68
Se 0.0000 0.5000 0.0000  2 Ca 2.66

***

Entry 3:
The following is a DFT calculation (PBE) of a relaxed MgV3Ru crystal.

Calculated values
Magnetic moment (μB/f.u.): 1.241
E_form (eV/atom): 0.893

Lattice parameters (Å, degrees): 4.5809 4.5809 4.5809 90.00 90.00 90.00
Last column: nearest neighbours and their distance in Å.
Space group Pm-3m (No. 221)
Symmetry-distinct sites (fractional):
Mg 0.0000 0.0000 0.0000  12 V 3.24
V 0.0000 0.5000 0.5000  2 Ru 2.29
Ru 0.5000 0.5000 0.5000  6 V 2.29

***

Entry 4:
The following is a DFT calculation (PBE) of a relaxed K2InTe crystal.

Calculated values
Magnetic moment (μB/f.u.): 0.000
E_form (uncorrected) (meV per atom): -505

Lattice parameters (Å, degrees): 5.3472 5.3472 5.0333 90.00 90.00 90.00
Last column: nearest neighbours and their distance in Å.
Space group P4/mmm (No. 123)
Symmetry-distinct sites (fractional):
K 0.0000 0.5000 0.0000  4 Te 3.67, 4 In 3.67, 4 K 3.78
In 0.0000 0.0000 0.5000  8 K 3.67, 4 Te 3.78
Te 0.5000 0.5000 0.5000  8 K 3.67, 4 In 3.78

***

Entry 5:
The following is a DFT calculation (PBE) of a relaxed TbPa2GeN5 crystal.

Calculated values
Magnetic moment (μB/f.u.): 1.070
E_form (uncorrected) (meV per atom): -1030

Lattice parameters (Å, degrees): 3.2913 16.0895 9.5277 90.00 90.00 90.00
Last column: nearest neighbours and their distance in Å.
Space group Cmc2_1 (No. 36)
Symmetry-distinct sites (fractional):
Tb 0.0000 0.2171 0.0000  5 N 2.34-2.44
Pa 0.0000 0.0990 0.6717  7 N 2.38-2.58
Pa 0.0000 0.1130 0.3016  6 N 2.32-2.57
Ge 0.0000 0.4475 0.4509  4 N 1.89-1.92
N 0.0000 0.0365 0.0491  2 Ge 1.91
N 0.0000 0.3151 0.6807  2 Pa 2.32, 2 Tb 2.44
N 0.0000 0.3440 0.3505  1 Ge 1.92
N 0.0000 0.3623 0.0040  1 Tb 2.34, 4 Pa 2.38-2.57
N 0.0000 0.4936 0.7798  1 Ge 1.89

***

Entry 6:
The following is a DFT calculation (PBE) of a relaxed U3TaNb2C6 crystal.

Calculated values
Magnetic moment (μB/f.u.): 0.764
E_form (eV/atom): -0.444

Lattice parameters (Å, degrees): 5.6569 9.7930 5.9227 90.00 108.58 90.00
Last column: nearest neighbours and their distance in Å.
Space group C2/m (No. 12)
Symmetry-distinct sites (fractional):
U 0.0000 0.0000 0.0000  6 C 2.42-2.44
U 0.0000 0.3326 0.0000  6 C 2.42-2.43
Ta 0.0000 0.5000 0.5000  6 C 2.26-2.27
Nb 0.0000 0.1665 0.5000  6 C 2.29
C 0.2413 0.3348 0.7281  1 Ta 2.26, 2 Nb 2.29, 3 U 2.42-2.43
C 0.2462 0.0000 0.7291  1 Ta 2.27, 2 Nb 2.29, 3 U 2.42-2.44